1 | Compound: FeCoAu2
Source: the Alexandria database
Functional: PBE
Structure: relaxed

CIF file:
```
data_FeCoAu2
_chemical_formula_sum 'Fe1 Co1 Au2'
_space_group_name_H-M_alt 'P m m m'
_space_group_IT_number 47
_space_group_name_Hall '-P 2 2'
_cell_length_a 2.8078
_cell_length_b 3.8581
_cell_length_c 5.5247
_cell_angle_alpha 90.00
_cell_angle_beta 90.00
_cell_angle_gamma 90.00
loop_
_atom_site_label
_atom_site_type_symbol
_atom_site_fract_x
_atom_site_fract_y
_atom_site_fract_z
Fe1 Fe 0.0000 0.0000 0.0000
Co1 Co 0.0000 0.0000 0.5000
Au1 Au 0.5000 0.5000 0.2516
```

=====

2 | Compound: FeCoAu2
Source: the Alexandria database
Functional: PBE
Structure: relaxed

CIF file:
```
data_FeCoAu2
_chemical_formula_sum 'Fe3 Co3 Au6'
_space_group_name_H-M_alt 'R -3 m'
_space_group_IT_number 166
_space_group_name_Hall '-R 3 2"'
_cell_length_a 2.8023
_cell_length_b 2.8023
_cell_length_c 26.6623
_cell_angle_alpha 90.00
_cell_angle_beta 90.00
_cell_angle_gamma 120.00
loop_
_atom_site_label
_atom_site_type_symbol
_atom_site_fract_x
_atom_site_fract_y
_atom_site_fract_z
Fe1 Fe 0.0000 0.0000 0.0000
Co1 Co 0.0000 0.0000 0.5000
Au1 Au 0.0000 0.0000 0.2493
```

=====

3 | Compound: FeCoAu2
Source: the Alexandria database
Functional: PBE
Structure: relaxed

CIF file:
```
data_FeCoAu2
_chemical_formula_sum 'Fe2 Co2 Au4'
_space_group_name_H-M_alt 'C 1 2/m 1'
_space_group_IT_number 12
_space_group_name_Hall '-C 2y'
_cell_length_a 9.0965
_cell_length_b 2.8255
_cell_length_c 4.7912
_cell_angle_alpha 90.00
_cell_angle_beta 100.46
_cell_angle_gamma 90.00
loop_
_atom_site_label
_atom_site_type_symbol
_atom_site_fract_x
_atom_site_fract_y
_atom_site_fract_z
Fe1 Fe 0.0000 0.0000 0.0000
Co1 Co 0.0000 0.5000 0.5000
Au1 Au 0.2487 0.0000 0.7488
```

=====

4 | Compound: FeCoAu2
Source: the Alexandria database
Functional: PBE
Structure: relaxed

CIF file:
```
data_FeCoAu2
_chemical_formula_sum 'Fe2 Co2 Au4'
_space_group_name_H-M_alt 'I m m 2'
_space_group_IT_number 44
_space_group_name_Hall 'I 2 -2'
_cell_length_a 3.5329
_cell_length_b 4.1824
_cell_length_c 8.1150
_cell_angle_alpha 90.00
_cell_angle_beta 90.00
_cell_angle_gamma 90.00
loop_
_atom_site_label
_atom_site_type_symbol
_atom_site_fract_x
_atom_site_fract_y
_atom_site_fract_z
Fe1 Fe 0.0000 0.0000 0.0000
Co1 Co 0.0000 0.5000 0.2987
Au1 Au 0.0000 0.0000 0.5346
Au2 Au 0.0000 0.5000 0.7647
```

=====

Most stable of them? 4.

=====

1 | Compound: FeCoAu
Source: the Alexandria database
Functional: PBE
Structure: relaxed

CIF file:
```
data_FeCoAu
_chemical_formula_sum 'Fe1 Co1 Au1'
_space_group_name_H-M_alt 'P 3 m 1'
_space_group_IT_number 156
_space_group_name_Hall 'P 3 -2"'
_cell_length_a 4.2324
_cell_length_b 4.2324
_cell_length_c 2.6809
_cell_angle_alpha 90.00
_cell_angle_beta 90.00
_cell_angle_gamma 120.00
loop_
_atom_site_label
_atom_site_type_symbol
_atom_site_fract_x
_atom_site_fract_y
_atom_site_fract_z
Fe1 Fe 0.0000 0.0000 0.0000
Co1 Co 0.6667 0.3333 0.8516
Au1 Au 0.3333 0.6667 0.4141
```

=====

2 | Compound: FeCoAu
Source: the Alexandria database
Functional: PBE
Structure: relaxed

CIF file:
```
data_FeCoAu
_chemical_formula_sum 'Fe4 Co4 Au4'
_space_group_name_H-M_alt 'F -4 3 m'
_space_group_IT_number 216
_space_group_name_Hall 'F -4 2 3'
_cell_length_a 5.7418
_cell_length_b 5.7418
_cell_length_c 5.7418
_cell_angle_alpha 90.00
_cell_angle_beta 90.00
_cell_angle_gamma 90.00
loop_
_atom_site_label
_atom_site_type_symbol
_atom_site_fract_x
_atom_site_fract_y
_atom_site_fract_z
Fe1 Fe 0.0000 0.0000 0.0000
Co1 Co 0.2500 0.2500 0.7500
Au1 Au 0.2500 0.2500 0.2500
```

=====

3 | Compound: FeCoAu
Source: the Alexandria database
Functional: PBE
Structure: relaxed

CIF file:
```
data_FeCoAu
_chemical_formula_sum 'Fe2 Co2 Au2'
_space_group_name_H-M_alt 'I 4 m m'
_space_group_IT_number 107
_space_group_name_Hall 'I 4 -2'
_cell_length_a 3.0094
_cell_length_b 3.0094
_cell_length_c 9.1200
_cell_angle_alpha 90.00
_cell_angle_beta 90.00
_cell_angle_gamma 90.00
loop_
_atom_site_label
_atom_site_type_symbol
_atom_site_fract_x
_atom_site_fract_y
_atom_site_fract_z
Fe1 Fe 0.0000 0.0000 0.0000
Co1 Co 0.0000 0.0000 0.6247
Au1 Au 0.0000 0.0000 0.3129
```

=====

Most stable of them? 3.

=====

1 | Compound: FeCoAu3
Source: the Alexandria database
Functional: PBE
Structure: relaxed

CIF file:
```
data_FeCoAu3
_chemical_formula_sum 'Fe1 Co1 Au3'
_space_group_name_H-M_alt 'P m -3 m'
_space_group_IT_number 221
_space_group_name_Hall '-P 4 2 3'
_cell_length_a 4.7361
_cell_length_b 4.7361
_cell_length_c 4.7361
_cell_angle_alpha 90.00
_cell_angle_beta 90.00
_cell_angle_gamma 90.00
loop_
_atom_site_label
_atom_site_type_symbol
_atom_site_fract_x
_atom_site_fract_y
_atom_site_fract_z
Fe1 Fe 0.0000 0.0000 0.0000
Co1 Co 0.5000 0.5000 0.5000
Au1 Au 0.0000 0.5000 0.5000
```

=====

2 | Compound: FeCoAu3
Source: the Alexandria database
Functional: PBE
Structure: relaxed

CIF file:
```
data_FeCoAu3
_chemical_formula_sum 'Fe1 Co1 Au3'
_space_group_name_H-M_alt 'P m -3 m'
_space_group_IT_number 221
_space_group_name_Hall '-P 4 2 3'
_cell_length_a 4.7855
_cell_length_b 4.7855
_cell_length_c 4.7855
_cell_angle_alpha 90.00
_cell_angle_beta 90.00
_cell_angle_gamma 90.00
loop_
_atom_site_label
_atom_site_type_symbol
_atom_site_fract_x
_atom_site_fract_y
_atom_site_fract_z
Fe1 Fe 0.0000 0.0000 0.0000
Co1 Co 0.5000 0.5000 0.5000
Au1 Au 0.0000 0.0000 0.5000
```

=====

Most stable of them? 1.

=====

1 | Compound: Ga2CoAu2
Source: the Alexandria database
Functional: PBE
Structure: relaxed

CIF file:
```
data_Ga2CoAu2
_chemical_formula_sum 'Ga4 Co2 Au4'
_space_group_name_H-M_alt 'P 4/m b m'
_space_group_IT_number 127
_space_group_name_Hall '-P 4 2ab'
_cell_length_a 6.5063
_cell_length_b 6.5063
_cell_length_c 3.8537
_cell_angle_alpha 90.00
_cell_angle_beta 90.00
_cell_angle_gamma 90.00
loop_
_atom_site_label
_atom_site_type_symbol
_atom_site_fract_x
_atom_site_fract_y
_atom_site_fract_z
Ga1 Ga 0.1487 0.3513 0.0000
Co1 Co 0.0000 0.0000 0.0000
Au1 Au 0.1621 0.6621 0.5000
```

=====

2 | Compound: Ga2CoAu2
Source: the Alexandria database
Functional: PBE
Structure: relaxed

CIF file:
```
data_Ga2CoAu2
_chemical_formula_sum 'Ga4 Co2 Au4'
_space_group_name_H-M_alt 'P 4/m b m'
_space_group_IT_number 127
_space_group_name_Hall '-P 4 2ab'
_cell_length_a 7.1358
_cell_length_b 7.1358
_cell_length_c 3.3789
_cell_angle_alpha 90.00
_cell_angle_beta 90.00
_cell_angle_gamma 90.00
loop_
_atom_site_label
_atom_site_type_symbol
_atom_site_fract_x
_atom_site_fract_y
_atom_site_fract_z
Ga1 Ga 0.1641 0.3359 0.0000
Co1 Co 0.0000 0.0000 0.5000
Au1 Au 0.1426 0.6426 0.5000
```

=====

Most stable of them? 1.

=====

1 | Compound: Ga2Co2Au
Source: the Alexandria database
Functional: PBE
Structure: relaxed

CIF file:
```
data_Ga2Co2Au
_chemical_formula_sum 'Ga4 Co4 Au2'
_space_group_name_H-M_alt 'P 4/m b m'
_space_group_IT_number 127
_space_group_name_Hall '-P 4 2ab'
_cell_length_a 6.9603
_cell_length_b 6.9603
_cell_length_c 2.8141
_cell_angle_alpha 90.00
_cell_angle_beta 90.00
_cell_angle_gamma 90.00
loop_
_atom_site_label
_atom_site_type_symbol
_atom_site_fract_x
_atom_site_fract_y
_atom_site_fract_z
Ga1 Ga 0.1663 0.3337 0.0000
Co1 Co 0.1294 0.6294 0.5000
Au1 Au 0.0000 0.0000 0.5000
```

=====

2 | Compound: Ga2Co2Au
Source: the Alexandria database
Functional: PBE
Structure: relaxed

CIF file:
```
data_Ga2Co2Au
_chemical_formula_sum 'Ga4 Co4 Au2'
_space_group_name_H-M_alt 'I 4/m m m'
_space_group_IT_number 139
_space_group_name_Hall '-I 4 2'
_cell_length_a 3.6428
_cell_length_b 3.6428
_cell_length_c 11.1220
_cell_angle_alpha 90.00
_cell_angle_beta 90.00
_cell_angle_gamma 90.00
loop_
_atom_site_label
_atom_site_type_symbol
_atom_site_fract_x
_atom_site_fract_y
_atom_site_fract_z
Ga1 Ga 0.0000 0.5000 0.2500
Co1 Co 0.0000 0.0000 0.1012
Au1 Au 0.0000 0.0000 0.5000
```

=====

Most stable of them? 1.